{
  "formula": "BaNaAgSnS4",
  "functional": "PBE",
  "state": "relaxed",
  "final_energy_ev_per_atom": -4.296,
  "cell": [[5.076, -4.089, 0.000], [5.076, 4.089, 0.000], [-5.071, 0.000, 5.080]],
  "species": ["Ba", "Na", "Ag", "Sn", "S", "S", "S", "S"],
  "fractional_positions": [[0.000, 0.000, 0.000], [0.251, 0.749, 0.500], [0.749, 0.251, 0.500], [0.500, 0.500, 0.000], [0.128, 0.464, 0.984], [0.480, 0.143, 0.608], [0.536, 0.872, 0.016], [0.857, 0.520, 0.392]]
}